--- one ---
Density functional theory data (PBE) for a relaxed structure of MnHgSb. Values from VASP.

## Properties
SG ... No. 216
Spin magnetization ... 1.262 μB per atom
Calculated volume ... 23.5 Å³ per atom

Cell and atoms, written as Quantum ESPRESSO input:
```
&SYSTEM
  ibrav = 0, nat = 3, ntyp = 3
/
ATOMIC_SPECIES
Mn 54.94 Mn.upf
Hg 200.59 Hg.upf
Sb 121.76 Sb.upf
ATOMIC_POSITIONS crystal
Mn 0.0000 0.0000 0.0000
Hg 0.2500 0.2500 0.2500
Sb 0.7500 0.7500 0.7500
CELL_PARAMETERS angstrom
0.0000 3.2783 3.2783
3.2783 0.0000 3.2783
3.2783 3.2783 0.0000
```

--- two ---
Density functional theory data (PBE) for a relaxed structure of MnHgSb. Values from VASP.

## Properties
SG ... No. 44
Spin magnetization ... 1.189 μB per atom
Calculated volume ... 22.3 Å³ per atom

Cell and atoms, written as Quantum ESPRESSO input:
```
&SYSTEM
  ibrav = 0, nat = 3, ntyp = 3
/
ATOMIC_SPECIES
Mn 54.94 Mn.upf
Hg 200.59 Hg.upf
Sb 121.76 Sb.upf
ATOMIC_POSITIONS crystal
Mn 0.0000 0.0000 0.0000
Hg 0.6532 0.6532 0.0000
Sb 0.3693 0.3693 0.0000
CELL_PARAMETERS angstrom
-1.5328 1.8198 5.9874
1.5328 -1.8198 5.9874
1.5328 1.8198 -5.9874
```

one is the most stable structure; the next one sits 102 meV per atom above it.

--- one ---
Density functional theory data (PBE) for a relaxed structure of MnHgSb. Values from VASP.

## Properties
SG ... No. 156
Spin magnetization ... 1.361 μB per atom
Calculated volume ... 24.3 Å³ per atom

Cell and atoms, written as Quantum ESPRESSO input:
```
&SYSTEM
  ibrav = 0, nat = 3, ntyp = 3
/
ATOMIC_SPECIES
Mn 54.94 Mn.upf
Hg 200.59 Hg.upf
Sb 121.76 Sb.upf
ATOMIC_POSITIONS crystal
Mn 0.0000 0.0000 0.0000
Hg 0.3333 0.6667 0.6764
Sb 0.6667 0.3333 0.2739
CELL_PARAMETERS angstrom
4.1187 0.0000 0.0000
-2.0593 3.5669 0.0000
0.0000 0.0000 4.9547
```

--- two ---
Density functional theory data (PBE) for a relaxed structure of MnHgSb. Values from VASP.

## Properties
SG ... No. 129
Spin magnetization ... 1.146 μB per atom
Calculated volume ... 21.5 Å³ per atom

Cell and atoms, written as Quantum ESPRESSO input:
```
&SYSTEM
  ibrav = 0, nat = 6, ntyp = 3
/
ATOMIC_SPECIES
Mn 54.94 Mn.upf
Hg 200.59 Hg.upf
Sb 121.76 Sb.upf
ATOMIC_POSITIONS crystal
Mn 0.2500 0.2500 0.2359
Mn 0.7500 0.7500 0.7641
Hg 0.2500 0.2500 0.9086
Hg 0.7500 0.7500 0.0914
Sb 0.2500 0.2500 0.6220
Sb 0.7500 0.7500 0.3780
CELL_PARAMETERS angstrom
3.1488 0.0000 0.0000
0.0000 3.1488 0.0000
0.0000 0.0000 12.9893
```

two is the most stable structure; the next one sits 50 meV per atom above it.

--- one ---
Density functional theory data (PBE) for a relaxed structure of MnHgSb3. Values from VASP.

## Properties
SG ... No. 221
Spin magnetization ... 0.877 μB per atom
Calculated volume ... 33.9 Å³ per atom

Cell and atoms, written as Quantum ESPRESSO input:
```
&SYSTEM
  ibrav = 0, nat = 5, ntyp = 3
/
ATOMIC_SPECIES
Mn 54.94 Mn.upf
Hg 200.59 Hg.upf
Sb 121.76 Sb.upf
ATOMIC_POSITIONS crystal
Mn 0.0000 0.0000 0.0000
Hg 0.5000 0.5000 0.5000
Sb 0.0000 0.5000 0.5000
Sb 0.5000 0.0000 0.5000
Sb 0.5000 0.5000 0.0000
CELL_PARAMETERS angstrom
5.5336 0.0000 0.0000
0.0000 5.5336 0.0000
0.0000 0.0000 5.5336
```

--- two ---
Density functional theory data (PBE) for a relaxed structure of MnHgSb3. Values from VASP.

## Properties
SG ... No. 221
Spin magnetization ... 0.000 μB per atom
Calculated volume ... 25.2 Å³ per atom

Cell and atoms, written as Quantum ESPRESSO input:
```
&SYSTEM
  ibrav = 0, nat = 5, ntyp = 3
/
ATOMIC_SPECIES
Mn 54.94 Mn.upf
Hg 200.59 Hg.upf
Sb 121.76 Sb.upf
ATOMIC_POSITIONS crystal
Mn 0.0000 0.0000 0.0000
Hg 0.5000 0.5000 0.5000
Sb 0.0000 0.0000 0.5000
Sb 0.0000 0.5000 0.0000
Sb 0.5000 0.0000 0.0000
CELL_PARAMETERS angstrom
5.0139 0.0000 0.0000
0.0000 5.0139 0.0000
0.0000 0.0000 5.0139
```

two is the most stable structure; the next one sits 751 meV per atom above it.

--- one ---
Density functional theory data (PBE) for a relaxed structure of Mn2HgSb2. Values from VASP.

## Properties
SG ... No. 139
Spin magnetization ... 1.431 μB per atom
Calculated volume ... 24.4 Å³ per atom

Cell and atoms, written as Quantum ESPRESSO input:
```
&SYSTEM
  ibrav = 0, nat = 5, ntyp = 3
/
ATOMIC_SPECIES
Mn 54.94 Mn.upf
Hg 200.59 Hg.upf
Sb 121.76 Sb.upf
ATOMIC_POSITIONS crystal
Mn 0.2500 0.7500 0.5000
Mn 0.7500 0.2500 0.5000
Hg 0.0000 0.0000 0.0000
Sb 0.3689 0.3689 0.0000
Sb 0.6311 0.6311 0.0000
CELL_PARAMETERS angstrom
-2.2889 2.2889 5.8164
2.2889 -2.2889 5.8164
2.2889 2.2889 -5.8164
```

--- two ---
Density functional theory data (PBE) for a relaxed structure of Mn2HgSb2. Values from VASP.

## Properties
SG ... No. 127
Spin magnetization ... 0.000 μB per atom
Calculated volume ... 17.6 Å³ per atom

Cell and atoms, written as Quantum ESPRESSO input:
```
&SYSTEM
  ibrav = 0, nat = 10, ntyp = 3
/
ATOMIC_SPECIES
Mn 54.94 Mn.upf
Hg 200.59 Hg.upf
Sb 121.76 Sb.upf
ATOMIC_POSITIONS crystal
Mn 0.1412 0.3588 0.0000
Mn 0.3588 0.8588 0.0000
Mn 0.6412 0.1412 0.0000
Mn 0.8588 0.6412 0.0000
Hg 0.0000 0.0000 0.0000
Hg 0.5000 0.5000 0.0000
Sb 0.1523 0.6523 0.5000
Sb 0.3477 0.1523 0.5000
Sb 0.6523 0.8477 0.5000
Sb 0.8477 0.3477 0.5000
CELL_PARAMETERS angstrom
7.3858 0.0000 0.0000
0.0000 7.3858 0.0000
0.0000 0.0000 3.2277
```

one is the most stable structure; the next one sits 122 meV per atom above it.

--- one ---
Density functional theory data (PBE) for a relaxed structure of MnHgSbTe2. Values from VASP.

## Properties
SG ... No. 123
Spin magnetization ... 0.534 μB per atom
Calculated volume ... 26.5 Å³ per atom

Cell and atoms, written as Quantum ESPRESSO input:
```
&SYSTEM
  ibrav = 0, nat = 5, ntyp = 4
/
ATOMIC_SPECIES
Mn 54.94 Mn.upf
Hg 200.59 Hg.upf
Sb 121.76 Sb.upf
Te 127.60 Te.upf
ATOMIC_POSITIONS crystal
Mn 0.0000 0.0000 0.0000
Hg 0.5000 0.5000 0.5000
Sb 0.0000 0.0000 0.5000
Te 0.0000 0.5000 0.0000
Te 0.5000 0.0000 0.0000
CELL_PARAMETERS angstrom
5.1494 0.0000 0.0000
0.0000 5.1494 0.0000
0.0000 0.0000 5.0053
```

--- two ---
Density functional theory data (PBE) for a relaxed structure of MnHgSbTe2. Values from VASP.

## Properties
SG ... No. 123
Spin magnetization ... 1.073 μB per atom
Calculated volume ... 37.2 Å³ per atom

Cell and atoms, written as Quantum ESPRESSO input:
```
&SYSTEM
  ibrav = 0, nat = 5, ntyp = 4
/
ATOMIC_SPECIES
Mn 54.94 Mn.upf
Hg 200.59 Hg.upf
Sb 121.76 Sb.upf
Te 127.60 Te.upf
ATOMIC_POSITIONS crystal
Mn 0.0000 0.0000 0.0000
Hg 0.5000 0.5000 0.0000
Sb 0.5000 0.5000 0.5000
Te 0.0000 0.5000 0.5000
Te 0.5000 0.0000 0.5000
CELL_PARAMETERS angstrom
5.8775 0.0000 0.0000
0.0000 5.8775 0.0000
0.0000 0.0000 5.3900
```

one is the most stable structure; the next one sits 367 meV per atom above it.

--- one ---
Density functional theory data (PBE) for a relaxed structure of Mn2SiHg. Values from VASP.

## Properties
SG ... No. 10
Spin magnetization ... 1.177 μB per atom
Calculated volume ... 14.3 Å³ per atom

Cell and atoms, written as Quantum ESPRESSO input:
```
&SYSTEM
  ibrav = 0, nat = 4, ntyp = 3
/
ATOMIC_SPECIES
Mn 54.94 Mn.upf
Si 28.09 Si.upf
Hg 200.59 Hg.upf
ATOMIC_POSITIONS crystal
Mn 0.0000 0.0000 0.2043
Mn 0.0000 0.0000 0.7957
Si 0.5000 0.5000 0.0000
Hg 0.5000 0.5000 0.5000
CELL_PARAMETERS angstrom
2.7993 0.0000 0.0000
0.0000 2.8034 0.0000
-0.0107 0.0000 7.2769
```

--- two ---
Density functional theory data (PBE) for a relaxed structure of Mn2SiHg. Values from VASP.

## Properties
SG ... No. 99
Spin magnetization ... 0.487 μB per atom
Calculated volume ... 15.1 Å³ per atom

Cell and atoms, written as Quantum ESPRESSO input:
```
&SYSTEM
  ibrav = 0, nat = 4, ntyp = 3
/
ATOMIC_SPECIES
Mn 54.94 Mn.upf
Si 28.09 Si.upf
Hg 200.59 Hg.upf
ATOMIC_POSITIONS crystal
Mn 0.0000 0.0000 0.0000
Mn 0.5000 0.5000 0.1930
Si 0.0000 0.0000 0.3826
Hg 0.5000 0.5000 0.7134
CELL_PARAMETERS angstrom
2.8162 0.0000 0.0000
0.0000 2.8162 0.0000
0.0000 0.0000 7.6248
```

one is the most stable structure; the next one sits 170 meV per atom above it.